Re2Rh, relaxed, DFT GGA-PBE; E = -0.79075 Ry/atom; ΔE to the lowest computed polymorph = 0.37 eV/f.u.
1.0
-1.347 1.983 4.131
1.347 -1.983 4.131
1.347 1.983 -4.131
Re Rh
2 1
direct
0.169 0.169 0.000
0.831 0.831 0.000
0.500 0.500 0.000